Entry from the Alexandria database: a geometry-optimized Cs2HfAl structure (GGA-PBE).

The structure in POSCAR format:
```
Cs2HfAl
1.0
-7.1674 7.1674 2.7028
7.1674 -7.1674 2.7028
7.1674 7.1674 -2.7028
Cs Al Hf
4 2 2
Direct
0.5483 0.8750 0.1733
0.6250 0.4517 0.3267
0.1250 0.2983 0.6733
0.7017 0.3750 0.8267
0.5000 0.5000 0.0000
0.7500 0.2500 0.5000
0.2500 0.7500 0.5000
0.0000 0.0000 0.0000
```

Properties
Energy of formation from the pure elements, eV per atom: 1.040
Fermi-level density of states, states/eV per cell: 9.096
Size of the total moment, Bohr magnetons per cell: 2.56
Energy relative to the lowest polymorph listed for this composition, kcal/mol of atoms: 0.000
Calculated total energy, eV for the cell shown: -22.48

Entry from the Alexandria database: a geometry-optimized Cs2HfAl structure (GGA-PBE).

The structure in POSCAR format:
```
Cs2HfAl
1.0
-0.6650 2.3994 5.5653
-2.2577 5.6267 0.6439
-5.5777 0.7986 2.3288
Cs Hf Al
2 1 1
Direct
0.2500 0.2500 0.2500
0.7500 0.7500 0.7500
0.5000 0.5000 0.5000
0.0000 0.0000 0.0000
```

Properties
Energy of formation from the pure elements, eV per atom: 1.416
Fermi-level density of states, states/eV per cell: 4.524
Size of the total moment, Bohr magnetons per cell: 0.00
Energy relative to the lowest polymorph listed for this composition, kcal/mol of atoms: 8.670
Calculated total energy, eV for the cell shown: -9.74

Entry from the Alexandria database: a geometry-optimized CsHf3Al structure (GGA-PBE).

The structure in POSCAR format:
```
CsHf3Al
1.0
-2.4074 -3.0320 -3.4825
4.5264 -2.3255 -1.1044
-0.9122 -3.5377 3.7106
Cs Al Hf
1 1 3
Direct
0.0000 0.0000 0.0000
0.5000 0.5000 0.5000
0.5000 0.0000 0.0000
0.0000 0.5000 0.0000
0.0000 0.0000 0.5000
```

Properties
Energy of formation from the pure elements, eV per atom: 2.331
Fermi-level density of states, states/eV per cell: 8.038
Size of the total moment, Bohr magnetons per cell: 0.00
Energy relative to the lowest polymorph listed for this composition, kcal/mol of atoms: 25.295
Calculated total energy, eV for the cell shown: -22.80